(1)
Material: Pr3SmSe4
Method: DFT, PBE-GGA
State: optimized geometry

```
data_Pr3SmSe4
_cell_length_a 7.386
_cell_length_b 8.407
_cell_length_c 7.370
_cell_angle_alpha 90.00
_cell_angle_beta 109.26
_cell_angle_gamma 90.00
_symmetry_space_group_name_H-M 'P 1 2/c 1'
_symmetry_Int_Tables_number 13
_symmetry_space_group_name_Hall '-P 2yc'
loop_
_atom_site_label
_atom_site_type_symbol
_atom_site_fract_x
_atom_site_fract_y
_atom_site_fract_z
Pr1 Pr 0.000 0.124 0.250
Pr2 Pr 0.000 0.374 0.750
Pr3 Pr 0.500 0.124 0.750
Sm1 Sm 0.500 0.374 0.250
Se1 Se 0.253 0.128 0.003
Se2 Se 0.255 0.378 0.500
```

Properties
**Raw formation energy**: -1839 meV/atom
**DFT total energy**: -5.964 eV/atom
**Fermi-level density of states**: 0.485 states/eV/atom

(2)
Material: ZrSbCl2
Method: DFT, PBE-GGA
State: optimized geometry

```
data_ZrSbCl2
_cell_length_a 3.204
_cell_length_b 4.824
_cell_length_c 5.632
_cell_angle_alpha 90.00
_cell_angle_beta 90.00
_cell_angle_gamma 90.00
_symmetry_space_group_name_H-M 'P m m m'
_symmetry_Int_Tables_number 47
_symmetry_space_group_name_Hall '-P 2 2'
loop_
_atom_site_label
_atom_site_type_symbol
_atom_site_fract_x
_atom_site_fract_y
_atom_site_fract_z
Zr1 Zr 0.000 0.000 0.000
Sb1 Sb 0.500 0.000 0.500
Cl1 Cl 0.000 0.500 0.500
Cl2 Cl 0.500 0.500 0.000
```

Properties
**Raw formation energy**: -477 meV/atom
**DFT total energy**: -4.568 eV/atom
**Fermi-level density of states**: 0.776 states/eV/atom

(3)
Material: Ca3W
Method: DFT, PBE-GGA
State: optimized geometry

```
data_Ca3W
_cell_length_a 11.0332
_cell_length_b 11.0332
_cell_length_c 3.1339
_cell_angle_alpha 90.00
_cell_angle_beta 90.00
_cell_angle_gamma 120.00
_symmetry_space_group_name_H-M 'R -3 m'
_symmetry_Int_Tables_number 166
_symmetry_space_group_name_Hall '-R 3 2"'
loop_
_atom_site_label
_atom_site_type_symbol
_atom_site_fract_x
_atom_site_fract_y
_atom_site_fract_z
Ca1 Ca 0.0000 0.5000 0.0000
W1 W 0.0000 0.0000 0.0000
```

Properties
**Energy of formation**: 3.79 eV per formula unit
**DFT total energy**: -3.793 eV/atom
**Fermi-level density of states**: 1.298 states/eV/atom

(4)
Material: CrMo2As
Method: DFT, PBE-GGA
State: optimized geometry

```
data_CrMo2As
_cell_length_a 2.933
_cell_length_b 4.038
_cell_length_c 4.987
_cell_angle_alpha 90.00
_cell_angle_beta 92.45
_cell_angle_gamma 90.00
_symmetry_space_group_name_H-M 'P 1 2/m 1'
_symmetry_Int_Tables_number 10
_symmetry_space_group_name_Hall '-P 2y'
loop_
_atom_site_label
_atom_site_type_symbol
_atom_site_fract_x
_atom_site_fract_y
_atom_site_fract_z
Cr1 Cr 0.000 0.000 0.000
Mo1 Mo 0.449 0.500 0.246
As1 As 0.000 0.000 0.500
```

Properties
**Energy of formation**: 0.66 eV per formula unit
**DFT total energy**: -8.818 eV/atom
**Fermi-level density of states**: 0.791 states/eV/atom

(5)
Material: Nd2HCl3
Method: DFT, PBE-GGA
State: optimized geometry

```
data_Nd2HCl3
_cell_length_a 15.820
_cell_length_b 3.774
_cell_length_c 10.751
_cell_angle_alpha 90.00
_cell_angle_beta 115.78
_cell_angle_gamma 90.00
_symmetry_space_group_name_H-M 'C 1 2/m 1'
_symmetry_Int_Tables_number 12
_symmetry_space_group_name_Hall '-C 2y'
loop_
_atom_site_label
_atom_site_type_symbol
_atom_site_fract_x
_atom_site_fract_y
_atom_site_fract_z
Nd1 Nd 0.094 0.000 0.443
Nd2 Nd 0.139 0.500 0.803
H1 H 0.073 0.000 0.652
Cl1 Cl 0.046 0.500 0.228
Cl2 Cl 0.161 0.000 0.017
Cl3 Cl 0.229 0.500 0.622
```

Properties
**DFT total energy**: -4.738 eV/atom
**Fermi-level density of states**: 0.481 states/eV/atom

(6)
Material: La5Ho3Bi8
Method: DFT, PBE-GGA
State: optimized geometry

```
data_La5Ho3Bi8
_cell_length_a 9.2407
_cell_length_b 9.2407
_cell_length_c 22.5766
_cell_angle_alpha 90.00
_cell_angle_beta 90.00
_cell_angle_gamma 120.00
_symmetry_space_group_name_H-M 'R -3 m'
_symmetry_Int_Tables_number 166
_symmetry_space_group_name_Hall '-R 3 2"'
loop_
_atom_site_label
_atom_site_type_symbol
_atom_site_fract_x
_atom_site_fract_y
_atom_site_fract_z
La1 La 0.0000 0.0000 0.0000
La2 La 0.0000 0.0000 0.5000
La3 La 0.0000 0.5000 0.0000
Ho1 Ho 0.0000 0.5000 0.5000
Bi1 Bi 0.0000 0.0000 0.2454
Bi2 Bi 0.0061 0.5031 0.7531
```

Properties
**Energy of formation**: -15.44 eV per formula unit
**DFT total energy**: -5.304 eV/atom
**Fermi-level density of states**: 0.192 states/eV/atom

(7)
Material: MgAs2P2
Method: DFT, PBE-GGA
State: optimized geometry

```
data_MgAs2P2
_cell_length_a 7.568
_cell_length_b 7.568
_cell_length_c 3.491
_cell_angle_alpha 90.00
_cell_angle_beta 90.00
_cell_angle_gamma 90.00
_symmetry_space_group_name_H-M 'P 4/m b m'
_symmetry_Int_Tables_number 127
_symmetry_space_group_name_Hall '-P 4 2ab'
loop_
_atom_site_label
_atom_site_type_symbol
_atom_site_fract_x
_atom_site_fract_y
_atom_site_fract_z
Mg1 Mg 0.000 0.000 0.000
As1 As 0.167 0.333 0.500
P1 P 0.184 0.684 0.000
```

Properties
**Energy of formation**: 0.48 eV per formula unit
**DFT total energy**: -4.247 eV/atom
**Fermi-level density of states**: 0.506 states/eV/atom

(8)
Material: ZrCrAg2
Method: DFT, PBE-GGA
State: optimized geometry

```
data_ZrCrAg2
_cell_length_a 5.801
_cell_length_b 8.568
_cell_length_c 2.985
_cell_angle_alpha 90.00
_cell_angle_beta 90.15
_cell_angle_gamma 90.00
_symmetry_space_group_name_H-M 'C 1 2/m 1'
_symmetry_Int_Tables_number 12
_symmetry_space_group_name_Hall '-C 2y'
loop_
_atom_site_label
_atom_site_type_symbol
_atom_site_fract_x
_atom_site_fract_y
_atom_site_fract_z
Zr1 Zr 0.000 0.000 0.000
Cr1 Cr 0.000 0.500 0.000
Ag1 Ag 0.250 0.250 0.500
```

Properties
**Energy of formation**: 1.24 eV per formula unit
**DFT total energy**: -5.659 eV/atom
**Fermi-level density of states**: 0.903 states/eV/atom

(9)
Material: Th2Ga6Co9
Method: DFT, PBE-GGA
State: optimized geometry

```
data_Th2Ga6Co9
_cell_length_a 5.2013
_cell_length_b 5.2013
_cell_length_c 11.6280
_cell_angle_alpha 90.00
_cell_angle_beta 90.00
_cell_angle_gamma 120.00
_symmetry_space_group_name_H-M 'P 6/m m m'
_symmetry_Int_Tables_number 191
_symmetry_space_group_name_Hall '-P 6 2'
loop_
_atom_site_label
_atom_site_type_symbol
_atom_site_fract_x
_atom_site_fract_y
_atom_site_fract_z
Th1 Th 0.0000 0.0000 0.2342
Ga1 Ga 0.3333 0.6667 0.0000
Ga2 Ga 0.3333 0.6667 0.3346
Co1 Co 0.0000 0.5000 0.1659
Co2 Co 0.0000 0.5000 0.5000
```

Properties
**Energy of formation**: -3.31 eV per formula unit
**DFT total energy**: -5.898 eV/atom
**Fermi-level density of states**: 0.933 states/eV/atom